Record 1
Computed, not measured: a relaxed Pm4Al crystal at the PBE-GGA level of DFT.

a = 5.6993 Å, b = 5.6993 Å, c = 5.6993 Å
α = 90.00°, β = 90.00°, γ = 90.00°
Sites, in units of the cell vectors:
Pm  0.0000  0.0000  0.0000
Pm  0.0000  0.5000  0.5000
Pm  0.5000  0.0000  0.5000
Pm  0.5000  0.5000  0.0000
Al  0.5000  0.5000  0.5000

## Properties
Magnetic moment   0.0 μB per formula unit
VASP energy   -4.2501 eV per atom
E_form   28.8 kJ per mole of atoms
Energy above the most stable polymorph in this dataset   5.322 kcal/mol of atoms
SG   Pm-3m (221)
Mass density   5.44 g cm⁻³

Record 2
Computed, not measured: a relaxed Pm2NdEr crystal at the PBE-GGA level of DFT.

a = 5.7640 Å, b = 5.7640 Å, c = 5.7640 Å
α = 60.00°, β = 60.00°, γ = 60.00°
Sites, in units of the cell vectors:
Pm  0.2500  0.2500  0.2500
Pm  0.7500  0.7500  0.7500
Nd  0.0000  0.0000  0.0000
Er  0.5000  0.5000  0.5000

## Properties
Magnetic moment   0.0 μB per formula unit
VASP energy   -4.5685 eV per atom
E_form   13.5 kJ per mole of atoms
Energy above the most stable polymorph in this dataset   2.845 kcal/mol of atoms
SG   Fm-3m (225)
Mass density   7.38 g cm⁻³